Record 1
Entry from Alexandria via LeMat-Bulk: a relaxed NbVNiOs crystal (PBE).

a = 6.145 Å, b = 6.145 Å, c = 6.145 Å
α = 90.00°, β = 90.00°, γ = 90.00°
Space group F-43m (No. 216)
Symmetry-distinct sites (fractional):
Nb1 0.000 0.000 0.000 x4
V1 0.000 0.000 0.500 x4
Ni1 0.250 0.250 0.750 x4
Os1 0.250 0.250 0.250 x4

Output
calculated formation energy: -0.38 eV/f.u.



Record 2
Entry from Alexandria via LeMat-Bulk: a relaxed NbZnNiOs crystal (PBE).

a = 6.151 Å, b = 6.151 Å, c = 6.151 Å
α = 90.00°, β = 90.00°, γ = 90.00°
Space group F-43m (No. 216)
Symmetry-distinct sites (fractional):
Nb1 0.000 0.000 0.000 x4
Zn1 0.000 0.000 0.500 x4
Ni1 0.250 0.250 0.750 x4
Os1 0.250 0.250 0.250 x4

Output
calculated formation energy: -0.41 eV/f.u.



Record 3
Entry from Alexandria via LeMat-Bulk: a relaxed ZrNbNiOs crystal (PBE).

a = 6.416 Å, b = 6.416 Å, c = 6.416 Å
α = 90.00°, β = 90.00°, γ = 90.00°
Space group F-43m (No. 216)
Symmetry-distinct sites (fractional):
Zr1 0.000 0.000 0.000 x4
Nb1 0.000 0.000 0.500 x4
Ni1 0.250 0.250 0.750 x4
Os1 0.250 0.250 0.250 x4

Output
calculated formation energy: -1.05 eV/f.u.



Record 4
Entry from Alexandria via LeMat-Bulk: a relaxed NbNiP crystal (PBE).

a = 6.197 Å, b = 3.607 Å, c = 10.626 Å
α = 90.00°, β = 90.61°, γ = 90.00°
Space group P2_1/m (No. 11)
Symmetry-distinct sites (fractional):
Nb1 0.025 0.250 0.117 x2
Nb2 0.141 0.250 0.419 x2
Nb3 0.471 0.750 0.786 x2
Ni1 0.139 0.250 0.702 x2
Ni2 0.353 0.750 0.042 x2
Ni3 0.485 0.750 0.415 x2
P1 0.231 0.750 0.251 x2
P2 0.272 0.250 0.917 x2
P3 0.272 0.750 0.586 x2

Output
calculated formation energy: -2.41 eV/f.u.



Record 5
Entry from Alexandria via LeMat-Bulk: a relaxed NbNi2P crystal (PBE).

a = 3.592 Å, b = 3.592 Å, c = 17.212 Å
α = 90.00°, β = 90.00°, γ = 90.00°
Space group I-42d (No. 122)
Symmetry-distinct sites (fractional):
Nb1 0.000 0.000 0.000 x4
Ni1 0.225 0.250 0.625 x8
P1 0.000 0.000 0.500 x4

Output
calculated formation energy: -0.55 eV/f.u.



Record 6
Entry from Alexandria via LeMat-Bulk: a relaxed Nb3NiP crystal (PBE).

a = 4.574 Å, b = 4.574 Å, c = 4.574 Å
α = 90.00°, β = 90.00°, γ = 90.00°
Space group Pm-3m (No. 221)
Symmetry-distinct sites (fractional):
Nb1 0.000 0.000 0.500 x3
Ni1 0.500 0.500 0.500 x1
P1 0.000 0.000 0.000 x1

Output
offset from the most stable computed form: 0 meV/atom
calculated formation energy: 2.31 eV/f.u.



Record 7
Entry from Alexandria via LeMat-Bulk: a relaxed NbNi4P2 crystal (PBE).

a = 6.855 Å, b = 6.855 Å, c = 3.544 Å
α = 90.00°, β = 90.00°, γ = 90.00°
Space group P4_2/mnm (No. 136)
Symmetry-distinct sites (fractional):
Nb1 0.000 0.000 0.000 x2
Ni1 0.081 0.330 0.500 x8
P1 0.222 0.778 0.500 x4

Output
calculated formation energy: -4.37 eV/f.u.



Record 8
Entry from Alexandria via LeMat-Bulk: a relaxed Nb2NiP crystal (PBE).

a = 6.752 Å, b = 6.752 Å, c = 5.562 Å
α = 90.00°, β = 90.00°, γ = 90.00°
Space group I-42d (No. 122)
Symmetry-distinct sites (fractional):
Nb1 0.242 0.750 0.125 x8
Ni1 0.000 0.000 0.500 x4
P1 0.000 0.000 0.000 x4

Output
calculated formation energy: -0.72 eV/f.u.



Record 9
Entry from Alexandria via LeMat-Bulk: a relaxed NbNi3P crystal (PBE).

a = 4.517 Å, b = 4.517 Å, c = 4.517 Å
α = 90.00°, β = 90.00°, γ = 90.00°
Space group Pm-3m (No. 221)
Symmetry-distinct sites (fractional):
Nb1 0.000 0.000 0.000 x1
Ni1 0.000 0.000 0.500 x3
P1 0.500 0.500 0.500 x1

Output
offset from the most stable computed form: 1372 meV/atom
calculated formation energy: 7.55 eV/f.u.



Record 10
Entry from Alexandria via LeMat-Bulk: a relaxed Nb4NiP crystal (PBE).

a = 6.168 Å, b = 6.168 Å, c = 5.010 Å
α = 90.00°, β = 90.00°, γ = 90.00°
Space group P4/mcc (No. 124)
Symmetry-distinct sites (fractional):
Nb1 0.160 0.337 0.000 x8
Ni1 0.500 0.500 0.250 x2
P1 0.000 0.000 0.250 x2

Output
calculated formation energy: -2.77 eV/f.u.



Record 11
Entry from Alexandria via LeMat-Bulk: a relaxed NbNi3P crystal (PBE).

a = 4.136 Å, b = 4.136 Å, c = 4.136 Å
α = 90.00°, β = 90.00°, γ = 90.00°
Space group Pm-3m (No. 221)
Symmetry-distinct sites (fractional):
Nb1 0.000 0.000 0.000 x1
Ni1 0.000 0.500 0.500 x3
P1 0.500 0.500 0.500 x1

Output
offset from the most stable computed form: 0 meV/atom
calculated formation energy: 0.69 eV/f.u.



Record 12
Entry from Alexandria via LeMat-Bulk: a relaxed NbNi2P crystal (PBE).

a = 13.269 Å, b = 6.473 Å, c = 4.724 Å
α = 90.00°, β = 90.00°, γ = 90.00°
Space group Pnma (No. 62)
Symmetry-distinct sites (fractional):
Nb1 0.107 0.250 0.240 x4
Nb2 0.141 0.750 0.035 x4
Ni1 0.035 0.057 0.755 x8
Ni2 0.214 0.555 0.537 x8
P1 0.069 0.750 0.530 x4
P2 0.182 0.250 0.757 x4

Output
calculated formation energy: -2.52 eV/f.u.



Record 13
Entry from Alexandria via LeMat-Bulk: a relaxed Nb2Ni21P6 crystal (PBE).

a = 11.074 Å, b = 11.074 Å, c = 11.074 Å
α = 90.00°, β = 90.00°, γ = 90.00°
Space group Fm-3m (No. 225)
Symmetry-distinct sites (fractional):
Nb1 0.250 0.250 0.250 x8
Ni1 0.000 0.000 0.000 x4
Ni2 0.000 0.175 0.175 x48
Ni3 0.118 0.118 0.382 x32
P1 0.000 0.000 0.261 x24

Output
calculated formation energy: -11.20 eV/f.u.



Record 14
Entry from Alexandria via LeMat-Bulk: a relaxed Nb2NiP crystal (PBE).

a = 6.172 Å, b = 3.568 Å, c = 6.109 Å
α = 90.00°, β = 109.73°, γ = 90.00°
Space group Cm (No. 8)
Symmetry-distinct sites (fractional):
Nb1 0.000 0.000 0.000 x2
Nb2 0.214 0.000 0.640 x2
Ni1 0.266 0.500 0.298 x2
P1 0.450 0.000 0.349 x2

Output
calculated formation energy: -1.20 eV/f.u.



Record 15
Entry from Alexandria via LeMat-Bulk: a relaxed NbNi2P2 crystal (PBE).

a = 6.721 Å, b = 6.721 Å, c = 2.830 Å
α = 90.00°, β = 90.00°, γ = 90.00°
Space group P4/mbm (No. 127)
Symmetry-distinct sites (fractional):
Nb1 0.000 0.000 0.000 x2
Ni1 0.137 0.363 0.500 x4
P1 0.154 0.654 0.000 x4

Output
calculated formation energy: -2.12 eV/f.u.



Record 16
Entry from Alexandria via LeMat-Bulk: a relaxed Nb5Ni4P4 crystal (PBE).

a = 9.998 Å, b = 9.998 Å, c = 3.536 Å
α = 90.00°, β = 90.00°, γ = 90.00°
Space group I4/m (No. 87)
Symmetry-distinct sites (fractional):
Nb1 0.000 0.000 0.000 x2
Nb2 0.131 0.195 0.500 x8
Ni1 0.085 0.610 0.500 x8
P1 0.056 0.740 0.000 x8

Output
calculated formation energy: -11.20 eV/f.u.



Record 17
Entry from Alexandria via LeMat-Bulk: a relaxed NbNiP crystal (PBE).

a = 6.139 Å, b = 3.610 Å, c = 7.115 Å
α = 90.00°, β = 90.00°, γ = 90.00°
Space group Pnma (No. 62)
Symmetry-distinct sites (fractional):
Nb1 0.022 0.250 0.168 x4
Ni1 0.149 0.250 0.567 x4
P1 0.219 0.750 0.378 x4

Output
calculated formation energy: -2.54 eV/f.u.



Record 18
Entry from Alexandria via LeMat-Bulk: a relaxed NbNi2PPb crystal (PBE).

a = 4.142 Å, b = 4.142 Å, c = 5.453 Å
α = 90.00°, β = 90.00°, γ = 90.00°
Space group P4/mmm (No. 123)
Symmetry-distinct sites (fractional):
Nb1 0.000 0.000 0.000 x1
Ni1 0.000 0.500 0.500 x2
P1 0.500 0.500 0.500 x1
Pb1 0.500 0.500 0.000 x1

Output
calculated formation energy: 2.72 eV/f.u.



Record 19
Entry from Alexandria via LeMat-Bulk: a relaxed NbNiP2S crystal (PBE).

a = 4.286 Å, b = 4.286 Å, c = 4.469 Å
α = 90.00°, β = 90.00°, γ = 90.00°
Space group P4/mmm (No. 123)
Symmetry-distinct sites (fractional):
Nb1 0.000 0.000 0.000 x1
Ni1 0.500 0.500 0.500 x1
P1 0.000 0.500 0.500 x2
S1 0.500 0.500 0.000 x1

Output
offset from the most stable computed form: 0 meV/atom



Record 20
Entry from Alexandria via LeMat-Bulk: a relaxed NbNiP2S crystal (PBE).

a = 4.830 Å, b = 4.830 Å, c = 4.694 Å
α = 90.00°, β = 90.00°, γ = 90.00°
Space group P4/mmm (No. 123)
Symmetry-distinct sites (fractional):
Nb1 0.000 0.000 0.000 x1
Ni1 0.500 0.500 0.500 x1
P1 0.000 0.500 0.000 x2
S1 0.000 0.000 0.500 x1

Output
offset from the most stable computed form: 202 meV/atom



Number 1: spin magnetization 0.47 μB/f.u., calculated total energy -146.331 eV/cell. Number 2: spin magnetization 0.00 μB/f.u., calculated total energy -115.071 eV/cell. Number 3: spin magnetization 0.00 μB/f.u., calculated total energy -146.733 eV/cell. Number 4: spin magnetization 0.00 μB/f.u., calculated total energy -142.045 eV/cell. Number 5: spin magnetization 0.00 μB/f.u., calculated total energy -110.355 eV/cell. Number 6: spin magnetization 0.00 μB/f.u., calculated total energy -39.092 eV/cell. Number 7: spin magnetization 0.00 μB/f.u., calculated total energy -96.779 eV/cell. Number 8: spin magnetization 0.00 μB/f.u., calculated total energy -128.208 eV/cell. Number 9: spin magnetization 0.00 μB/f.u., calculated total energy -25.276 eV/cell. Number 10: spin magnetization 0.00 μB/f.u., calculated total energy -108.471 eV/cell. Number 11: spin magnetization 1.43 μB/f.u., calculated total energy -32.136 eV/cell. Number 12: spin magnetization 0.00 μB/f.u., calculated total energy -236.512 eV/cell. Number 13: spin magnetization 0.00 μB/f.u., calculated total energy -740.809 eV/cell. Number 14: spin magnetization 0.00 μB/f.u., calculated total energy -65.068 eV/cell. Number 15: spin magnetization 0.00 μB/f.u., calculated total energy -69.138 eV/cell. Number 16: spin magnetization 0.00 μB/f.u., calculated total energy -212.619 eV/cell. Number 17: spin magnetization 0.00 μB/f.u., calculated total energy -95.192 eV/cell. Number 18: spin magnetization 0.16 μB/f.u., calculated total energy -28.034 eV/cell. Number 19: spin magnetization 0.00 μB/f.u., calculated total energy -28.349 eV/cell. Number 20: spin magnetization 0.87 μB/f.u., calculated total energy -27.338 eV/cell.